[1]
CaDy2Te4 | PBEsol | optimized geometry

Summary:
**Total magnetization**: 0.0 μB per formula unit
**SG**: P2/m (10)
**Formation energy from raw total energies**: -1.445 eV per atom

Cell lengths 4.3274, 7.4113, 7.6122 Å; angles 107.95, 90.00, 90.00 degrees
Element x y z (fractional)
1 Dy 0.0000 0.0000 0.0000
2 Dy 0.5000 0.5000 0.0000
3 Te 0.5000 0.2386 0.2472
4 Te 0.0000 0.7481 0.2411
5 Te 0.5000 0.7614 0.7528
6 Te 0.0000 0.2519 0.7589
7 Ca 0.0000 0.5000 0.5000


[2]
MnCu2Cl | PBEsol | optimized geometry

Summary:
**Polymorph energy (0 for the lowest one)**: 0 meV/atom
**Total magnetization**: 3.9 μB per formula unit
**SG**: Pm (6)
**Formation energy from raw total energies**: 0.090 eV per atom

Cell lengths 3.0232, 3.0979, 6.3801 Å; angles 90.21, 90.00, 90.00 degrees
Element x y z (fractional)
1 Cu 0.0000 0.2461 0.0542
2 Cu 0.5000 0.7476 0.2472
3 Cl 0.5000 0.2571 0.7476
4 Mn 0.0000 0.2492 0.4511


[3]
Pb3W2 | PBEsol | optimized geometry

Summary:
**ΔE_f**: 0.91 eV per atom
**Total magnetization**: 0.0 μB per formula unit
**SG**: P-3m1 (164)

Cell lengths 4.8527, 4.8527, 5.6822 Å; angles 90.00, 90.00, 120.00 degrees
Element x y z (fractional)
1 Pb 0.3333 0.6667 0.4018
2 Pb 0.0000 0.0000 0.0000
3 Pb 0.6667 0.3333 0.5982
4 W 0.3333 0.6667 0.9182
5 W 0.6667 0.3333 0.0818


[4]
ZnCd2Se | PBEsol | optimized geometry

Summary:
**Total magnetization**: 0.0 μB per formula unit
**SG**: Cm (8)
**Formation energy from raw total energies**: -0.104 eV per atom

Cell lengths 3.7033, 3.7033, 7.4900 Å; angles 75.71, 75.71, 59.68 degrees
Element x y z (fractional)
1 Cd 0.7546 0.7546 0.7332
2 Cd 0.9926 0.9926 0.0210
3 Se 0.5119 0.5119 0.4660
4 Zn 0.2410 0.2410 0.2798


Number 1: calculated density 6.26 g/cm³. Number 2: calculated density 6.04 g/cm³. Number 3: calculated density 14.18 g/cm³. Number 4: calculated density 7.21 g/cm³.